Entry 1:
Ba2TlPd3Au12: optimized geometry, PBE.

abc: 8.6138 8.6138 8.6138
angles: 64.51 64.51 64.51
Last column: nearest neighbours and their distance in Å.
Positions (direct):
Ba: 0.6110 0.6110 0.6110  6 Au 3.25-3.59
Ba: 0.3890 0.3890 0.3890  6 Au 3.25-3.59
Au: 0.8699 0.8699 0.3616  1 Tl 2.70, 1 Pd 2.70, 4 Au 2.76-2.95
Au: 0.1301 0.6384 0.1301  1 Tl 2.70, 1 Pd 2.70, 4 Au 2.76-2.95
Au: 0.0000 0.3470 0.3470  2 Pd 2.70, 2 Au 2.76
Au: 0.6530 0.0000 0.6530  2 Pd 2.70, 2 Au 2.76
Au: 0.6384 0.1301 0.1301  1 Tl 2.70, 1 Pd 2.70, 4 Au 2.76-2.95
Au: 0.3616 0.8699 0.8699  1 Tl 2.70, 1 Pd 2.70, 4 Au 2.76-2.95
Au: 0.3470 0.3470 0.0000  2 Pd 2.70, 2 Au 2.76
Au: 0.1301 0.1301 0.6384  1 Tl 2.70, 1 Pd 2.70, 4 Au 2.76-2.95
Au: 0.0000 0.6530 0.6530  2 Pd 2.70, 2 Au 2.76
Au: 0.6530 0.6530 0.0000  2 Pd 2.70, 2 Au 2.76
Au: 0.8699 0.3616 0.8699  1 Tl 2.70, 1 Pd 2.70, 4 Au 2.76-2.95
Au: 0.3470 0.0000 0.3470  2 Pd 2.70, 2 Au 2.76
Pd: 0.0000 0.5000 0.0000  6 Au 2.70
Pd: 0.0000 0.0000 0.5000  6 Au 2.70
Pd: 0.5000 0.0000 0.0000  6 Au 2.70
Tl: 0.0000 0.0000 0.0000  6 Au 2.70

Output
Calculated total energy ... -3.380 eV per atom
Symmetry ... No. 166
ΔE_f ... 15 meV/atom

Entry 2:
ScH2: optimized geometry, PBE.

abc: 4.4959 4.5120 5.0813
angles: 90.00 90.00 90.00
Last column: nearest neighbours and their distance in Å.
Positions (direct):
H: 0.5000 0.7500 0.6605  1 Sc 2.03
H: 0.7500 0.5000 0.0000  4 Sc 2.07, 4 H 2.25-2.26
H: 0.2500 0.0000 0.0000  4 Sc 2.07, 4 H 2.25-2.26
H: 0.0000 0.2500 0.6605  1 Sc 2.03
H: 0.5000 0.2500 0.3395  1 Sc 2.03
H: 0.0000 0.7500 0.3395  1 Sc 2.03
H: 0.2500 0.5000 0.0000  4 Sc 2.07, 4 H 2.25-2.26
H: 0.7500 0.0000 0.0000  4 Sc 2.07, 4 H 2.25-2.26
Sc: 0.5000 0.2500 0.7391  5 H 2.03-2.07
Sc: 0.0000 0.2500 0.2609  5 H 2.03-2.07
Sc: 0.5000 0.7500 0.2609  5 H 2.03-2.07
Sc: 0.0000 0.7500 0.7391  5 H 2.03-2.07

Output
Calculated total energy ... -4.872 eV per atom
Symmetry ... No. 67